Entry 1:
First-principles (PBE) data for crystalline Nd3Zr2UN6 at its relaxed geometry, as listed in Alexandria.

abc: 5.937 5.937 6.101
angles: 99.27 99.27 120.04
Fractional positions:
N 0.604 0.930 0.790
N 0.930 0.604 0.790
N 0.070 0.396 0.210
N 0.744 0.744 0.208
N 0.396 0.070 0.210
N 0.256 0.256 0.792
U 0.000 0.000 0.000
Zr 0.667 0.333 0.000
Zr 0.333 0.667 0.000
Nd 0.831 0.169 0.500
Nd 0.500 0.500 0.500
Nd 0.169 0.831 0.500

Results
DFT total energy, eV/atom: -9.262
Spin magnetization, Bohr magnetons per cell: 0.000
Energy relative to the elements, uncorrected, meV per atom: -1541.5
Calculated density, Mg/m³: 8.832



Entry 2:
First-principles (PBE) data for crystalline CsNaGa2I4 at its relaxed geometry, as listed in Alexandria.

abc: 9.863 9.863 9.813
angles: 119.83 119.83 90.00
Fractional positions:
Na 0.000 0.000 0.000
Na 0.500 0.500 0.500
I 0.718 0.224 0.471
I 0.264 0.236 0.498
I 0.736 0.764 0.998
I 0.282 0.776 0.529
I 0.264 0.236 0.002
I 0.724 0.218 0.971
I 0.736 0.764 0.502
I 0.276 0.782 0.029
Ga 0.500 0.500 0.000
Ga 0.500 0.000 0.000
Ga 0.500 0.000 0.500
Ga 0.000 0.000 0.500
Cs 0.000 0.500 0.000
Cs 0.000 0.500 0.500

Results
DFT total energy, eV/atom: -2.621
Spin magnetization, Bohr magnetons per cell: 0.000
Energy relative to the elements, uncorrected, meV per atom: -817.7
Calculated density, Mg/m³: 3.931



Entry 3:
First-principles (PBE) data for crystalline ZnCu2F at its relaxed geometry, as listed in Alexandria.

abc: 6.393 6.393 5.178
angles: 51.88 51.88 90.00
Fractional positions:
Cu 0.590 0.125 0.250
Cu 0.375 0.410 0.750
Cu 0.875 0.840 0.750
Cu 0.160 0.625 0.250
Zn 0.750 0.250 0.500
Zn 0.000 0.000 0.000
F 0.500 0.500 0.000
F 0.250 0.750 0.500

Results
DFT total energy, eV/atom: -3.176
Spin magnetization, Bohr magnetons per cell: 0.000
Energy relative to the elements, uncorrected, meV per atom: -341.4
Offset from the most stable computed form, kJ per mole of atoms: 0.00
Calculated density, Mg/m³: 6.806



Entry 4:
First-principles (PBE) data for crystalline TbCe2Te4 at its relaxed geometry, as listed in Alexandria.

abc: 4.289 7.702 15.320
angles: 90.00 90.00 106.17
Fractional positions:
Ce 0.865 0.730 0.570
Ce 0.865 0.730 0.930
Ce 0.135 0.270 0.070
Ce 0.135 0.270 0.430
Te 0.783 0.566 0.373
Te 0.971 0.942 0.750
Te 0.500 0.000 0.000
Te 0.217 0.434 0.627
Te 0.500 0.000 0.500
Te 0.217 0.434 0.873
Te 0.783 0.566 0.127
Te 0.029 0.058 0.250
Tb 0.376 0.753 0.250
Tb 0.624 0.247 0.750

Results
DFT total energy, eV/atom: -5.460
Spin magnetization, Bohr magnetons per cell: 5.015
Energy relative to the elements, uncorrected, meV per atom: -1308.1
Offset from the most stable computed form, kJ per mole of atoms: 5.55
Calculated density, Mg/m³: 6.488



Entry 5:
First-principles (PBE) data for crystalline Pm8Sn2Rh at its relaxed geometry, as listed in Alexandria.

abc: 5.032 6.956 10.113
angles: 103.43 104.41 90.00
Fractional positions:
Pm 0.216 0.323 0.432
Pm 0.984 0.218 0.968
Pm 0.354 0.997 0.709
Pm 0.646 0.003 0.291
Pm 0.408 0.527 0.817
Pm 0.784 0.677 0.568
Pm 0.016 0.782 0.032
Pm 0.592 0.473 0.183
Rh 0.500 0.000 0.000
Sn 0.818 0.241 0.636
Sn 0.182 0.759 0.364

Results
DFT total energy, eV/atom: -5.285
Formation enthalpy at 0 K, eV/atom: -0.43
Spin magnetization, Bohr magnetons per cell: 0.000
Calculated density, Mg/m³: 7.486



Entry 6:
First-principles (PBE) data for crystalline BaNa2B2 at its relaxed geometry, as listed in Alexandria.

abc: 4.984 4.984 5.812
angles: 64.61 64.61 90.00
Fractional positions:
Na 0.349 0.349 0.301
Na 0.651 0.651 0.699
B 0.750 0.250 0.500
B 0.250 0.750 0.500
Ba 0.000 0.000 0.000

Results
DFT total energy, eV/atom: -2.442
Formation enthalpy at 0 K, eV/atom: 1.14
Spin magnetization, Bohr magnetons per cell: 0.000
Offset from the most stable computed form, kJ per mole of atoms: 0.00
Calculated density, Mg/m³: 2.964



Entry 7:
First-principles (PBE) data for crystalline CaPmH6Pt2 at its relaxed geometry, as listed in Alexandria.

abc: 6.129 6.129 6.876
angles: 102.97 102.97 103.85
Fractional positions:
H 0.439 0.688 0.110
H 0.429 0.928 0.625
H 0.571 0.072 0.375
H 0.793 0.825 0.008
H 0.312 0.561 0.390
H 0.825 0.793 0.508
H 0.561 0.312 0.890
H 0.928 0.429 0.125
H 0.175 0.207 0.492
H 0.072 0.571 0.875
H 0.207 0.175 0.992
H 0.688 0.439 0.610
Ca 0.156 0.844 0.250
Ca 0.844 0.156 0.750
Pt 0.938 0.673 0.686
Pt 0.327 0.062 0.814
Pt 0.062 0.327 0.314
Pt 0.673 0.938 0.186
Pm 0.415 0.585 0.750
Pm 0.585 0.415 0.250

Results
DFT total energy, eV/atom: -4.456
Spin magnetization, Bohr magnetons per cell: 0.000
Calculated density, Mg/m³: 8.264



Entry 8:
First-principles (PBE) data for crystalline RbTmCuI5 at its relaxed geometry, as listed in Alexandria.

abc: 8.303 8.303 11.245
angles: 103.95 103.95 105.40
Fractional positions:
Tm 0.000 0.000 0.000
Tm 0.000 0.000 0.500
I 0.381 0.228 0.068
I 0.228 0.381 0.568
I 0.317 0.908 0.614
I 0.619 0.772 0.932
I 0.683 0.092 0.386
I 0.772 0.619 0.432
I 0.908 0.317 0.114
I 0.092 0.683 0.886
I 0.080 0.920 0.250
I 0.920 0.080 0.750
Cu 0.691 0.309 0.250
Cu 0.309 0.691 0.750
Rb 0.643 0.357 0.750
Rb 0.357 0.643 0.250

Results
DFT total energy, eV/atom: -3.229
Spin magnetization, Bohr magnetons per cell: 0.000
Energy relative to the elements, uncorrected, meV per atom: -1068.1
Calculated density, Mg/m³: 4.613



Entry 9:
First-principles (PBE) data for crystalline USnOs at its relaxed geometry, as listed in Alexandria.

abc: 3.116 4.384 10.114
angles: 89.99 72.16 90.00
Fractional positions:
Sn 0.890 0.750 0.112
Sn 0.110 0.250 0.888
Os 0.676 0.250 0.327
Os 0.324 0.750 0.673
U 0.900 0.250 0.592
U 0.100 0.750 0.408

Results
DFT total energy, eV/atom: -8.754
Formation enthalpy at 0 K, eV/atom: 0.09
Spin magnetization, Bohr magnetons per cell: 0.016
Calculated density, Mg/m³: 13.812



Entry 10:
First-principles (PBE) data for crystalline Cs4MnTe4 at its relaxed geometry, as listed in Alexandria.

abc: 10.095 10.095 10.095
angles: 75.07 128.96 128.96
Fractional positions:
Te 0.000 0.735 0.050
Te 0.000 0.050 0.735
Te 0.315 0.265 0.265
Te 0.685 0.950 0.950
Cs 0.000 0.699 0.699
Cs 0.500 0.000 0.500
Cs 0.500 0.500 0.000
Cs 0.000 0.301 0.301
Mn 0.000 0.000 0.000

Results
DFT total energy, eV/atom: -3.458
Spin magnetization, Bohr magnetons per cell: 2.999
Energy relative to the elements, uncorrected, meV per atom: -663.8
Calculated density, Mg/m³: 3.008



Entry 11:
First-principles (PBE) data for crystalline TlRhC2O6 at its relaxed geometry, as listed in Alexandria.

abc: 4.843 4.843 7.193
angles: 70.33 70.33 60.00
Fractional positions:
O 0.521 0.748 0.676
O 0.055 0.521 0.676
O 0.252 0.945 0.324
O 0.945 0.479 0.324
O 0.748 0.055 0.676
O 0.479 0.252 0.324
Tl 0.000 0.000 0.000
C 0.223 0.223 0.331
C 0.777 0.777 0.669
Rh 0.500 0.500 0.500

Results
DFT total energy, eV/atom: -6.894
Spin magnetization, Bohr magnetons per cell: 0.000
Energy relative to the elements, uncorrected, meV per atom: -1102.8
Calculated density, Mg/m³: 5.272



Entry 12:
First-principles (PBE) data for crystalline ScFeTc2 at its relaxed geometry, as listed in Alexandria.

abc: 4.989 4.989 2.755
angles: 90.00 90.00 117.66
Fractional positions:
Sc 0.000 0.500 0.500
Fe 0.500 0.000 0.500
Tc 0.000 0.000 0.000
Tc 0.500 0.500 0.000

Results
DFT total energy, eV/atom: -8.680
Formation enthalpy at 0 K, eV/atom: 0.20
Spin magnetization, Bohr magnetons per cell: 2.183
Offset from the most stable computed form, kJ per mole of atoms: 23.79
Calculated density, Mg/m³: 8.114



Copy entry 6 word for word.
First-principles (PBE) data for crystalline BaNa2B2 at its relaxed geometry, as listed in Alexandria.

abc: 4.984 4.984 5.812
angles: 64.61 64.61 90.00
Fractional positions:
Na 0.349 0.349 0.301
Na 0.651 0.651 0.699
B 0.750 0.250 0.500
B 0.250 0.750 0.500
Ba 0.000 0.000 0.000

Results
DFT total energy, eV/atom: -2.442
Formation enthalpy at 0 K, eV/atom: 1.14
Spin magnetization, Bohr magnetons per cell: 0.000
Offset from the most stable computed form, kJ per mole of atoms: 0.00
Calculated density, Mg/m³: 2.964